Entry 1:
DFT (PBEsol) results for an optimized crystal structure of Li2SiHg.

Output
**DFT total energy**: -2.836 eV/atom
**N(E_F)**: 0.19 states/eV/f.u.
**ρ**: 6494 kg/m³

```
data_Li2SiHg
_chemical_formula_sum 'Li8 Si4 Hg4'
_cell_length_a 6.2834
_cell_length_b 6.2834
_cell_length_c 6.2834
_cell_angle_alpha 90.00
_cell_angle_beta 90.00
_cell_angle_gamma 90.00
_symmetry_space_group_name_H-M 'F -4 3 m'
_symmetry_Int_Tables_number 216
_symmetry_space_group_name_Hall 'F -4 2 3'
loop_
_atom_site_label
_atom_site_type_symbol
_atom_site_fract_x
_atom_site_fract_y
_atom_site_fract_z
_atom_site_occupancy
Li1 Li 0.0000 0.0000 0.0000 1
Li2 Li 0.2500 0.2500 0.2500 1
Si1 Si 0.2500 0.2500 0.7500 1
Hg1 Hg 0.0000 0.0000 0.5000 1
```



Entry 2:
DFT (PBEsol) results for an optimized crystal structure of Li2SiHg.

Output
**DFT total energy**: -2.773 eV/atom
**N(E_F)**: 1.17 states/eV/f.u.
**ρ**: 6454 kg/m³

```
data_Li2SiHg
_chemical_formula_sum 'Li4 Si2 Hg2'
_cell_length_a 5.7357
_cell_length_b 7.2658
_cell_length_c 2.9949
_cell_angle_alpha 90.00
_cell_angle_beta 90.00
_cell_angle_gamma 90.00
_symmetry_space_group_name_H-M 'C m m m'
_symmetry_Int_Tables_number 65
_symmetry_space_group_name_Hall '-C 2 2'
loop_
_atom_site_label
_atom_site_type_symbol
_atom_site_fract_x
_atom_site_fract_y
_atom_site_fract_z
_atom_site_occupancy
Li1 Li 0.2500 0.2500 0.0000 1
Si1 Si 0.0000 0.0000 0.5000 1
Hg1 Hg 0.0000 0.5000 0.5000 1
```



Entry 3:
DFT (PBEsol) results for an optimized crystal structure of LiSiHg2.

Output
**DFT total energy**: -2.233 eV/atom
**N(E_F)**: 1.15 states/eV/f.u.
**ρ**: 9904 kg/m³

```
data_LiSiHg2
_chemical_formula_sum 'Li2 Si2 Hg4'
_cell_length_a 4.3296
_cell_length_b 4.3296
_cell_length_c 7.8034
_cell_angle_alpha 90.00
_cell_angle_beta 90.00
_cell_angle_gamma 90.00
_symmetry_space_group_name_H-M 'I 4/m m m'
_symmetry_Int_Tables_number 139
_symmetry_space_group_name_Hall '-I 4 2'
loop_
_atom_site_label
_atom_site_type_symbol
_atom_site_fract_x
_atom_site_fract_y
_atom_site_fract_z
_atom_site_occupancy
Li1 Li 0.0000 0.0000 0.0000 1
Si1 Si 0.0000 0.0000 0.5000 1
Hg1 Hg 0.0000 0.5000 0.2500 1
```



Entry 4:
DFT (PBEsol) results for an optimized crystal structure of LiSiHg2.

Output
**DFT total energy**: -2.155 eV/atom
**N(E_F)**: 1.54 states/eV/f.u.
**ρ**: 9550 kg/m³

```
data_LiSiHg2
_chemical_formula_sum 'Li3 Si3 Hg6'
_cell_length_a 3.1407
_cell_length_b 3.1407
_cell_length_c 26.6361
_cell_angle_alpha 90.00
_cell_angle_beta 90.00
_cell_angle_gamma 120.00
_symmetry_space_group_name_H-M 'R -3 m'
_symmetry_Int_Tables_number 166
_symmetry_space_group_name_Hall '-R 3 2"'
loop_
_atom_site_label
_atom_site_type_symbol
_atom_site_fract_x
_atom_site_fract_y
_atom_site_fract_z
_atom_site_occupancy
Li1 Li 0.0000 0.0000 0.0000 1
Si1 Si 0.0000 0.0000 0.5000 1
Hg1 Hg 0.0000 0.0000 0.2526 1
```



Entry 5:
DFT (PBEsol) results for an optimized crystal structure of Li2SiHg.

Output
**DFT total energy**: -2.673 eV/atom
**N(E_F)**: 1.21 states/eV/f.u.
**ρ**: 6117 kg/m³

```
data_Li2SiHg
_chemical_formula_sum 'Li2 Si1 Hg1'
_cell_length_a 3.3506
_cell_length_b 3.3506
_cell_length_c 5.8652
_cell_angle_alpha 90.00
_cell_angle_beta 90.00
_cell_angle_gamma 90.00
_symmetry_space_group_name_H-M 'P 4 m m'
_symmetry_Int_Tables_number 99
_symmetry_space_group_name_Hall 'P 4 -2'
loop_
_atom_site_label
_atom_site_type_symbol
_atom_site_fract_x
_atom_site_fract_y
_atom_site_fract_z
_atom_site_occupancy
Li1 Li 0.0000 0.0000 0.0000 1
Li2 Li 0.5000 0.5000 0.2650 1
Si1 Si 0.0000 0.0000 0.4846 1
Hg1 Hg 0.5000 0.5000 0.7737 1
```



Entry 6:
DFT (PBEsol) results for an optimized crystal structure of LiTiSiHg2.

Output
**DFT total energy**: -3.098 eV/atom
**N(E_F)**: 2.18 states/eV/f.u.
**ρ**: 7062 kg/m³

```
data_LiTiSiHg2
_chemical_formula_sum 'Li1 Ti1 Si1 Hg2'
_cell_length_a 4.9147
_cell_length_b 4.9147
_cell_length_c 4.7122
_cell_angle_alpha 90.00
_cell_angle_beta 90.00
_cell_angle_gamma 90.00
_symmetry_space_group_name_H-M 'P 4/m m m'
_symmetry_Int_Tables_number 123
_symmetry_space_group_name_Hall '-P 4 2'
loop_
_atom_site_label
_atom_site_type_symbol
_atom_site_fract_x
_atom_site_fract_y
_atom_site_fract_z
_atom_site_occupancy
Li1 Li 0.0000 0.0000 0.0000 1
Ti1 Ti 0.5000 0.5000 0.0000 1
Si1 Si 0.5000 0.5000 0.5000 1
Hg1 Hg 0.0000 0.5000 0.5000 1
```



Entry 7:
DFT (PBEsol) results for an optimized crystal structure of LiSmHg2.

Output
**Calculated formation energy**: -2.120 eV per formula unit
**N(E_F)**: 2.51 states/eV/f.u.
**ρ**: 10456 kg/m³

```
data_LiSmHg2
_chemical_formula_sum 'Li4 Sm4 Hg8'
_cell_length_a 7.0791
_cell_length_b 7.0791
_cell_length_c 7.0791
_cell_angle_alpha 90.00
_cell_angle_beta 90.00
_cell_angle_gamma 90.00
_symmetry_space_group_name_H-M 'F m -3 m'
_symmetry_Int_Tables_number 225
_symmetry_space_group_name_Hall '-F 4 2 3'
loop_
_atom_site_label
_atom_site_type_symbol
_atom_site_fract_x
_atom_site_fract_y
_atom_site_fract_z
_atom_site_occupancy
Li1 Li 0.0000 0.0000 0.0000 1
Sm1 Sm 0.0000 0.0000 0.5000 1
Hg1 Hg 0.2500 0.2500 0.2500 1
```



Entry 8:
DFT (PBEsol) results for an optimized crystal structure of Li3SnHg.

Output
**Calculated formation energy**: -0.064 eV per formula unit
**N(E_F)**: 1.92 states/eV/f.u.
**ρ**: 4986 kg/m³

```
data_Li3SnHg
_chemical_formula_sum 'Li3 Sn1 Hg1'
_cell_length_a 4.8385
_cell_length_b 4.8385
_cell_length_c 4.8385
_cell_angle_alpha 90.00
_cell_angle_beta 90.00
_cell_angle_gamma 90.00
_symmetry_space_group_name_H-M 'P m -3 m'
_symmetry_Int_Tables_number 221
_symmetry_space_group_name_Hall '-P 4 2 3'
loop_
_atom_site_label
_atom_site_type_symbol
_atom_site_fract_x
_atom_site_fract_y
_atom_site_fract_z
_atom_site_occupancy
Li1 Li 0.0000 0.0000 0.5000 1
Sn1 Sn 0.5000 0.5000 0.5000 1
Hg1 Hg 0.0000 0.0000 0.0000 1
```



Entry 9:
DFT (PBEsol) results for an optimized crystal structure of Li2SnHg2.

Output
**Calculated formation energy**: -1.441 eV per formula unit
**N(E_F)**: 1.59 states/eV/f.u.
**ρ**: 9079 kg/m³

```
data_Li2SnHg2
_chemical_formula_sum 'Li4 Sn2 Hg4'
_cell_length_a 7.7196
_cell_length_b 7.7196
_cell_length_c 3.2766
_cell_angle_alpha 90.00
_cell_angle_beta 90.00
_cell_angle_gamma 90.00
_symmetry_space_group_name_H-M 'P 4/m b m'
_symmetry_Int_Tables_number 127
_symmetry_space_group_name_Hall '-P 4 2ab'
loop_
_atom_site_label
_atom_site_type_symbol
_atom_site_fract_x
_atom_site_fract_y
_atom_site_fract_z
_atom_site_occupancy
Li1 Li 0.1417 0.3583 0.0000 1
Sn1 Sn 0.0000 0.0000 0.0000 1
Hg1 Hg 0.1487 0.6487 0.5000 1
```



Entry 10:
DFT (PBEsol) results for an optimized crystal structure of Sr2LiHg.

Output
**Calculated formation energy**: -0.641 eV per formula unit
**N(E_F)**: 3.06 states/eV/f.u.
**ρ**: 4921 kg/m³

```
data_Sr2LiHg
_chemical_formula_sum 'Sr4 Li2 Hg2'
_cell_length_a 4.8123
_cell_length_b 4.8123
_cell_length_c 11.1539
_cell_angle_alpha 90.00
_cell_angle_beta 90.00
_cell_angle_gamma 90.00
_symmetry_space_group_name_H-M 'I -4 m 2'
_symmetry_Int_Tables_number 119
_symmetry_space_group_name_Hall 'I -4 -2'
loop_
_atom_site_label
_atom_site_type_symbol
_atom_site_fract_x
_atom_site_fract_y
_atom_site_fract_z
_atom_site_occupancy
Sr1 Sr 0.0000 0.0000 0.0000 1
Sr2 Sr 0.0000 0.5000 0.2500 1
Li1 Li 0.0000 0.5000 0.7500 1
Hg1 Hg 0.0000 0.0000 0.5000 1
```



Entry 11:
DFT (PBEsol) results for an optimized crystal structure of SrLiHg2.

Output
**Calculated formation energy**: -1.679 eV per formula unit
**N(E_F)**: 2.32 states/eV/f.u.
**ρ**: 8026 kg/m³

```
data_SrLiHg2
_chemical_formula_sum 'Sr2 Li2 Hg4'
_cell_length_a 8.2312
_cell_length_b 4.7226
_cell_length_c 5.9394
_cell_angle_alpha 90.00
_cell_angle_beta 117.32
_cell_angle_gamma 90.00
_symmetry_space_group_name_H-M 'C 1 m 1'
_symmetry_Int_Tables_number 8
_symmetry_space_group_name_Hall 'C -2y'
loop_
_atom_site_label
_atom_site_type_symbol
_atom_site_fract_x
_atom_site_fract_y
_atom_site_fract_z
_atom_site_occupancy
Sr1 Sr 0.0000 0.0000 0.0000 1
Li1 Li 0.3010 0.5000 0.4047 1
Hg1 Hg 0.2077 0.0000 0.6229 1
Hg2 Hg 0.4685 0.0000 0.4066 1
```



Entry 12:
DFT (PBEsol) results for an optimized crystal structure of Sr2LiHg.

Output
**Calculated formation energy**: -1.201 eV per formula unit
**N(E_F)**: 3.40 states/eV/f.u.
**ρ**: 4828 kg/m³

```
data_Sr2LiHg
_chemical_formula_sum 'Sr2 Li1 Hg1'
_cell_length_a 3.9950
_cell_length_b 3.9950
_cell_length_c 8.2491
_cell_angle_alpha 90.00
_cell_angle_beta 90.00
_cell_angle_gamma 90.00
_symmetry_space_group_name_H-M 'P 4/m m m'
_symmetry_Int_Tables_number 123
_symmetry_space_group_name_Hall '-P 4 2'
loop_
_atom_site_label
_atom_site_type_symbol
_atom_site_fract_x
_atom_site_fract_y
_atom_site_fract_z
_atom_site_occupancy
Sr1 Sr 0.0000 0.0000 0.2270 1
Li1 Li 0.5000 0.5000 0.5000 1
Hg1 Hg 0.5000 0.5000 0.0000 1
```



Entry 13:
DFT (PBEsol) results for an optimized crystal structure of SrLiHg3.

Output
**Calculated formation energy**: 1.453 eV per formula unit
**N(E_F)**: 3.61 states/eV/f.u.
**ρ**: 5329 kg/m³

```
data_SrLiHg3
_chemical_formula_sum 'Sr1 Li1 Hg3'
_cell_length_a 6.0091
_cell_length_b 6.0091
_cell_length_c 6.0091
_cell_angle_alpha 90.00
_cell_angle_beta 90.00
_cell_angle_gamma 90.00
_symmetry_space_group_name_H-M 'P m -3 m'
_symmetry_Int_Tables_number 221
_symmetry_space_group_name_Hall '-P 4 2 3'
loop_
_atom_site_label
_atom_site_type_symbol
_atom_site_fract_x
_atom_site_fract_y
_atom_site_fract_z
_atom_site_occupancy
Sr1 Sr 0.0000 0.0000 0.0000 1
Li1 Li 0.5000 0.5000 0.5000 1
Hg1 Hg 0.0000 0.0000 0.5000 1
```



Entry 14:
DFT (PBEsol) results for an optimized crystal structure of Sr2LiHg.

Output
**Calculated formation energy**: -1.033 eV per formula unit
**N(E_F)**: 2.62 states/eV/f.u.
**ρ**: 4883 kg/m³

```
data_Sr2LiHg
_chemical_formula_sum 'Sr2 Li1 Hg1'
_cell_length_a 3.9153
_cell_length_b 3.9153
_cell_length_c 8.4919
_cell_angle_alpha 90.00
_cell_angle_beta 90.00
_cell_angle_gamma 90.00
_symmetry_space_group_name_H-M 'P 4 m m'
_symmetry_Int_Tables_number 99
_symmetry_space_group_name_Hall 'P 4 -2'
loop_
_atom_site_label
_atom_site_type_symbol
_atom_site_fract_x
_atom_site_fract_y
_atom_site_fract_z
_atom_site_occupancy
Sr1 Sr 0.0000 0.0000 0.0000 1
Sr2 Sr 0.5000 0.5000 0.3789 1
Li1 Li 0.5000 0.5000 0.7447 1
Hg1 Hg 0.0000 0.0000 0.6068 1
```



Entry 15:
DFT (PBEsol) results for an optimized crystal structure of SrLiHg2.

Output
**Calculated formation energy**: -1.852 eV per formula unit
**N(E_F)**: 2.36 states/eV/f.u.
**ρ**: 7932 kg/m³

```
data_SrLiHg2
_chemical_formula_sum 'Sr2 Li2 Hg4'
_cell_length_a 8.2876
_cell_length_b 4.7708
_cell_length_c 5.9323
_cell_angle_alpha 90.00
_cell_angle_beta 117.76
_cell_angle_gamma 90.00
_symmetry_space_group_name_H-M 'C 1 2/m 1'
_symmetry_Int_Tables_number 12
_symmetry_space_group_name_Hall '-C 2y'
loop_
_atom_site_label
_atom_site_type_symbol
_atom_site_fract_x
_atom_site_fract_y
_atom_site_fract_z
_atom_site_occupancy
Sr1 Sr 0.0000 0.0000 0.0000 1
Li1 Li 0.0000 0.5000 0.5000 1
Hg1 Hg 0.2091 0.0000 0.6264 1
```